1.
A relaxed Al2GeI8 crystal. Source: Alexandria, functional PBE.

Magnetization (μB/f.u.): 0.0

Lattice parameters (Å, degrees): 13.642 11.441 7.011 90.00 96.26 90.00
Space group C2/m (No. 12)
Inequivalent atoms, fractional coordinates:
Al 0.196 0.000 0.154 x4
Ge 0.000 0.000 0.500 x2
I 0.101 0.179 0.271 x8
I 0.125 0.500 0.720 x4
I 0.190 0.000 0.784 x4

---

2.
A relaxed Al2Ge2I crystal. Source: Alexandria, functional PBE.

Magnetization (μB/f.u.): 0.0
Excess energy over the best structure of this formula in the dataset (meV/atom): 0

Lattice parameters (Å, degrees): 4.705 4.705 10.089 90.00 90.00 90.00
Space group I4/mmm (No. 139)
Inequivalent atoms, fractional coordinates:
Al 0.000 0.500 0.250 x4
Ge 0.000 0.000 0.126 x4
I 0.000 0.000 0.500 x2

---

3.
A relaxed AlGe2I crystal. Source: Alexandria, functional PBE.

Magnetization (μB/f.u.): 0.0
Excess energy over the best structure of this formula in the dataset (meV/atom): 0

Lattice parameters (Å, degrees): 6.324 6.324 12.751 90.00 90.00 90.00
Space group I-42d (No. 122)
Inequivalent atoms, fractional coordinates:
Al 0.000 0.000 0.000 x4
Ge 0.177 0.250 0.125 x8
I 0.000 0.000 0.500 x4

---

4.
A relaxed AlGe2IrI crystal. Source: Alexandria, functional PBE.

Magnetization (μB/f.u.): 0.0

Lattice parameters (Å, degrees): 4.711 4.711 5.300 90.00 90.00 90.00
Space group P4/mmm (No. 123)
Inequivalent atoms, fractional coordinates:
Al 0.000 0.000 0.000 x1
Ge 0.000 0.500 0.000 x2
Ir 0.500 0.500 0.500 x1
I 0.000 0.000 0.500 x1

---

5.
A relaxed La4AlGeI2 crystal. Source: Alexandria, functional PBE.

Magnetization (μB/f.u.): 0.0

Lattice parameters (Å, degrees): 7.923 4.457 8.120 90.00 108.28 90.00
Space group P2/m (No. 10)
Inequivalent atoms, fractional coordinates:
La 0.231 0.000 0.208 x2
La 0.255 0.500 0.784 x2
Al 0.500 0.000 0.000 x1
Ge 0.000 0.500 0.000 x1
I 0.000 0.000 0.500 x1
I 0.500 0.500 0.500 x1

---

6.
A relaxed AlGeIN2 crystal. Source: Alexandria, functional PBE.

Magnetization (μB/f.u.): 0.1
Excess energy over the best structure of this formula in the dataset (meV/atom): 0

Lattice parameters (Å, degrees): 3.911 3.911 5.729 90.00 90.00 90.00
Space group P4/mmm (No. 123)
Inequivalent atoms, fractional coordinates:
Al 0.000 0.000 0.000 x1
Ge 0.500 0.500 0.500 x1
I 0.000 0.000 0.500 x1
N 0.000 0.500 0.000 x2

---

Calculated formation energy without anion corrections in order - -0.572, 0.110, 0.437, 1.209, -0.861, 0.949 eV/atom